Below is a geometry-optimized VCoSn2 structure, with properties calculated at the PBE level.

Properties
- excess energy over the best structure of this formula in the dataset (kJ per mole of atoms) = 25.2
- density (g cm⁻³) = 7.6
- formation energy (eV per formula unit) = 1.90

CIF file:
```
data_VCoSn2
_chemical_formula_sum 'V4 Co4 Sn8'
_symmetry_space_group_name_H-M 'I -4 2 d'
_symmetry_Int_Tables_number 122
_symmetry_space_group_name_Hall 'I -4 2bw'
_cell_length_a 7.1918
_cell_length_b 7.1918
_cell_length_c 5.8897
_cell_angle_alpha 90.00
_cell_angle_beta 90.00
_cell_angle_gamma 90.00
loop_
_atom_site_label
_atom_site_type_symbol
_atom_site_fract_x
_atom_site_fract_y
_atom_site_fract_z
V1 V 0.0000 0.0000 0.0000
Co1 Co 0.0000 0.0000 0.5000
Sn1 Sn 0.2177 0.2500 0.6250
```